LaTl2Te PBE optimized geometry; energy above the most stable polymorph in this dataset = 2.4 kJ/mol of atoms
1.0
4.6480 0.0000 0.0000
0.0000 4.8603 0.0000
0.0000 0.0000 5.2982
Te Tl La
1 2 1
Direct
0.0000 0.5000 0.5000
0.5000 0.5000 0.0000
0.0000 0.0000 0.0000
0.5000 0.0000 0.5000